# 1
Entry from Alexandria: a relaxed SrGd2Fe3O9 crystal (PBE with a Hubbard U).

Properties
* total DFT energy (no corrections): -8.211 eV/atom
* calculated volume: 175.5 Å³ per cell

a = 5.4803 Å, b = 5.4803 Å, c = 6.7465 Å
α = 90.00°, β = 90.00°, γ = 120.00°
Space group P-3m1 (No. 164)
Unique sites:
Sr1 0.0000 0.0000 0.0000 (multiplicity 1)
Gd1 0.3333 0.6667 0.6488 (multiplicity 2)
Fe1 0.0000 0.0000 0.5000 (multiplicity 1)
Fe2 0.3333 0.6667 0.1598 (multiplicity 2)
O1 0.0000 0.5000 0.0000 (multiplicity 3)
O2 0.1689 0.3377 0.3530 (multiplicity 6)

# 2
Entry from Alexandria: a relaxed Sr2GdFe3O9 crystal (PBE with a Hubbard U).

Properties
* total DFT energy (no corrections): -7.367 eV/atom
* calculated volume: 712.6 Å³ per cell
* Fermi-level density of states: 8.992 states/eV/cell

a = 9.582 Å, b = 5.562 Å, c = 13.372 Å
α = 90.00°, β = 90.16°, γ = 90.00°
Space group C2/c (No. 15)
Unique sites:
Sr1 0.167 0.003 0.084 (multiplicity 8)
Gd1 0.000 0.493 0.250 (multiplicity 4)
Fe1 0.000 0.500 0.000 (multiplicity 4)
Fe2 0.166 0.000 0.334 (multiplicity 8)
O1 0.000 0.084 0.750 (multiplicity 4)
O2 0.058 0.250 0.404 (multiplicity 8)
O3 0.103 0.262 0.920 (multiplicity 8)
O4 0.163 0.447 0.587 (multiplicity 8)
O5 0.213 0.278 0.245 (multiplicity 8)

# 3
Entry from Alexandria: a relaxed GdYFe2O6 crystal (PBE with a Hubbard U).

Properties
* total DFT energy (no corrections): -8.664 eV/atom
* calculated volume: 236.1 Å³ per cell

a = 7.755 Å, b = 5.376 Å, c = 5.663 Å
α = 90.00°, β = 90.00°, γ = 90.00°
Space group Pmc2_1 (No. 26)
Unique sites:
Gd1 0.000 0.232 0.000 (multiplicity 2)
Y1 0.500 0.268 0.132 (multiplicity 2)
Fe1 0.252 0.250 0.565 (multiplicity 4)
O1 0.000 0.358 0.602 (multiplicity 2)
O2 0.195 0.056 0.261 (multiplicity 4)
O3 0.310 0.445 0.868 (multiplicity 4)
O4 0.500 0.134 0.521 (multiplicity 2)